Compound: InIrOs2
Source: Alexandria
Functional: SCAN
Structure: PBEsol geometry

```
InIrOs2
1.0
1.397 0.807 8.994
-1.397 0.807 8.994
0.000 -1.614 8.994
In Ir Os
1 1 2
Cartesian
0.000 0.000 0.000
0.000 0.000 20.326
0.000 0.000 6.599
0.000 0.000 13.515
```

Calculated values
DFT formation energy in eV/atom: 0.317